No. 1
A plane-wave DFT calculation with PBE-GGA was carried out for a relaxed structure of RhAuSe4.

The calculation puts the energy relative to the lowest polymorph listed for this composition at 6.77 eV/f.u. The value obtained for the uncorrected formation energy is 0.91 eV/atom.

The space group is F-43m (No. 216) and the conventional cell measures 7.887, 7.887 and 7.887 Å, with angles of 90.00, 90.00 and 90.00 degrees. Symmetry generates all atoms from Rh at (0.000, 0.000, 0.000), Au at (0.250, 0.250, 0.250) and Se at (0.125, 0.125, 0.625).

=====

No. 2
A plane-wave DFT calculation with PBE-GGA was carried out for a relaxed structure of Pm2Co2Ni.

The calculation puts the energy relative to the lowest polymorph listed for this composition at 0.59 eV/f.u. For the energy of formation, the calculation gives -0.025 eV per atom.

The space group is P4/mbm (No. 127) and the conventional cell measures 6.736, 6.736 and 4.116 Å, with angles of 90.00, 90.00 and 90.00 degrees. Symmetry generates all atoms from Pm at (0.185, 0.315, 0.000), Co at (0.119, 0.619, 0.500) and Ni at (0.000, 0.000, 0.500).

=====

No. 3
A plane-wave DFT calculation with PBE-GGA was carried out for a relaxed structure of ZrSn2Hg2.

The calculation puts the energy relative to the lowest polymorph listed for this composition at 0.02 eV/f.u. For the energy of formation, the calculation gives 0.118 eV per atom.

The space group is P4/mbm (No. 127) and the conventional cell measures 7.795, 7.795 and 4.069 Å, with angles of 90.00, 90.00 and 90.00 degrees. Symmetry generates all atoms from Zr at (0.000, 0.000, 0.000), Sn at (0.142, 0.358, 0.000) and Hg at (0.164, 0.664, 0.500).

=====

No. 4
A plane-wave DFT calculation with PBE-GGA was carried out for a relaxed structure of ZnInCl3.

The calculation puts the energy relative to the lowest polymorph listed for this composition at 0.45 eV/f.u. The value obtained for the uncorrected formation energy is -0.93 eV/atom.

The space group is Amm2 (No. 38) and the conventional cell measures 3.550, 9.399 and 8.928 Å, with angles of 90.00, 90.00 and 90.00 degrees. Symmetry generates all atoms from Zn at (0.000, 0.000, 0.000), In at (0.500, 0.000, 0.490), Cl at (0.000, 0.000, 0.738) and Cl at (0.500, 0.169, 0.062).

=====

No. 5
A plane-wave DFT calculation with PBE-GGA was carried out for a relaxed structure of DyErGe.

The calculation puts the energy relative to the lowest polymorph listed for this composition at 0.51 eV/f.u. For the energy of formation, the calculation gives -0.441 eV per atom.

The space group is I4mm (No. 107) and the conventional cell measures 3.445, 3.445 and 13.013 Å, with angles of 90.00, 90.00 and 90.00 degrees. Symmetry generates all atoms from Dy at (0.000, 0.000, 0.000), Er at (0.000, 0.000, 0.716) and Ge at (0.000, 0.000, 0.357).

=====

No. 6
A plane-wave DFT calculation with PBE-GGA was carried out for a relaxed structure of CrPbSeBr2.

The calculation puts the energy relative to the lowest polymorph listed for this composition at 0.00 eV/f.u. The value obtained for the uncorrected formation energy is -0.37 eV/atom.

The space group is P4/mmm (No. 123) and the conventional cell measures 5.064, 5.064 and 5.210 Å, with angles of 90.00, 90.00 and 90.00 degrees. Symmetry generates all atoms from Cr at (0.000, 0.000, 0.000), Pb at (0.500, 0.500, 0.500), Se at (0.000, 0.000, 0.500) and Br at (0.000, 0.500, 0.000).

=====

No. 7
A plane-wave DFT calculation with PBE-GGA was carried out for a relaxed structure of In2TeCl.

The calculation puts the energy relative to the lowest polymorph listed for this composition at 0.51 eV/f.u. The value obtained for the uncorrected formation energy is -0.42 eV/atom.

The space group is R3m (No. 160, hexagonal axes) and the conventional cell measures 4.5852, 4.5852 and 20.9303 Å, with angles of 90.00, 90.00 and 120.00 degrees. Symmetry generates all atoms from In at (0.0000, 0.0000, 0.0000), In at (0.0000, 0.0000, 0.1634), Te at (0.0000, 0.0000, 0.5803) and Cl at (0.0000, 0.0000, 0.7614).

=====

No. 8
A plane-wave DFT calculation with PBE-GGA was carried out for a relaxed structure of La5Tb2Tm3.

For the energy of formation, the calculation gives 0.163 eV per atom.

The space group is C2/c (No. 15) and the conventional cell measures 10.859, 14.861 and 10.160 Å, with angles of 90.00, 122.26 and 90.00 degrees. Symmetry generates all atoms from La at (0.000, 0.019, 0.250), La at (0.000, 0.227, 0.250), La at (0.000, 0.477, 0.750), La at (0.249, 0.369, 0.247), Tb at (0.156, 0.130, 0.062), Tm at (0.000, 0.270, 0.750) and Tm at (0.152, 0.373, 0.559).

=====

No. 9
A plane-wave DFT calculation with PBE-GGA was carried out for a relaxed structure of Nb2Tl2N.

The calculation puts the energy relative to the lowest polymorph listed for this composition at 7.62 eV/f.u. The value obtained for the uncorrected formation energy is 1.51 eV/atom.

The space group is I4/mmm (No. 139) and the conventional cell measures 3.820, 3.820 and 14.362 Å, with angles of 90.00, 90.00 and 90.00 degrees. Symmetry generates all atoms from Nb at (0.000, 0.000, 0.082), Tl at (0.000, 0.500, 0.250) and N at (0.000, 0.000, 0.500).

=====

No. 10
A plane-wave DFT calculation with PBE-GGA was carried out for a relaxed structure of PbSeBr2.

The calculation puts the energy relative to the lowest polymorph listed for this composition at 0.00 eV/f.u. The value obtained for the uncorrected formation energy is -0.46 eV/atom.

The space group is C2/m (No. 12) and the conventional cell measures 14.568, 4.173 and 4.754 Å, with angles of 90.00, 90.46 and 90.00 degrees. Symmetry generates all atoms from Pb at (0.000, 0.000, 0.000), Se at (0.000, 0.500, 0.500) and Br at (0.152, 0.500, 0.207).

=====

No. 11
A plane-wave DFT calculation with PBE-GGA was carried out for a relaxed structure of Hf8Te2Os.

The value obtained for the uncorrected formation energy is -0.22 eV/atom.

The space group is C2/m (No. 12) and the conventional cell measures 16.046, 5.583 and 5.613 Å, with angles of 90.00, 110.41 and 90.00 degrees. Symmetry generates all atoms from Hf at (0.000, 0.000, 0.240), Hf at (0.098, 0.500, 0.597), Hf at (0.167, 0.254, 0.166), Te at (0.163, 0.000, 0.662) and Os at (0.000, 0.500, 0.000).

=====

No. 12
A plane-wave DFT calculation with PBE-GGA was carried out for a relaxed structure of Pr2AlNi3.

For the energy of formation, the calculation gives -0.330 eV per atom.

The space group is Fmmm (No. 69) and the conventional cell measures 8.004, 8.435 and 14.236 Å, with angles of 90.00, 90.00 and 90.00 degrees. Symmetry generates all atoms from Pr at (0.241, 0.000, 0.000), Pr at (0.250, 0.250, 0.250), Al at (0.000, 0.000, 0.334), Ni at (0.000, 0.000, 0.166) and Ni at (0.000, 0.248, 0.416).

=====

No. 13
A plane-wave DFT calculation with PBE-GGA was carried out for a relaxed structure of Ac2Pm7Dy3.

For the energy of formation, the calculation gives 0.090 eV per atom.

The space group is P2/m (No. 10) and the conventional cell measures 6.501, 3.643 and 18.081 Å, with angles of 90.00, 96.29 and 90.00 degrees. Symmetry generates all atoms from Ac at (0.060, 0.000, 0.173), Pm at (0.000, 0.500, 0.500), Pm at (0.232, 0.000, 0.665), Pm at (0.261, 0.000, 0.998), Pm at (0.279, 0.500, 0.340), Dy at (0.451, 0.500, 0.840) and Dy at (0.500, 0.000, 0.500).

=====

No. 14
A plane-wave DFT calculation with PBE-GGA was carried out for a relaxed structure of NbFe2Cu2.

The calculation puts the energy relative to the lowest polymorph listed for this composition at 0.09 eV/f.u. For the energy of formation, the calculation gives 0.235 eV per atom.

The space group is P4/mbm (No. 127) and the conventional cell measures 7.130, 7.130 and 2.621 Å, with angles of 90.00, 90.00 and 90.00 degrees. Symmetry generates all atoms from Nb at (0.000, 0.000, 0.000), Fe at (0.176, 0.324, 0.500) and Cu at (0.120, 0.620, 0.000).

=====

No. 15
A plane-wave DFT calculation with PBE-GGA was carried out for a relaxed structure of CaAl2As.

The calculation puts the energy relative to the lowest polymorph listed for this composition at 0.11 eV/f.u. For the energy of formation, the calculation gives -0.294 eV per atom.

The space group is I-42d (No. 122) and the conventional cell measures 7.939, 7.939 and 5.802 Å, with angles of 90.00, 90.00 and 90.00 degrees. Symmetry generates all atoms from Ca at (0.000, 0.000, 0.000), Al at (0.196, 0.250, 0.625) and As at (0.000, 0.000, 0.500).

=====

No. 16
A plane-wave DFT calculation with PBE-GGA was carried out for a relaxed structure of Pr2YErBi5.

For the energy of formation, the calculation gives -0.174 eV per atom.

The space group is P4/mmm (No. 123) and the conventional cell measures 5.414, 5.414 and 11.938 Å, with angles of 90.00, 90.00 and 90.00 degrees. Symmetry generates all atoms from Pr at (0.000, 0.000, 0.225), Y at (0.500, 0.500, 0.500), Er at (0.500, 0.500, 0.000), Bi at (0.000, 0.000, 0.500), Bi at (0.000, 0.500, 0.000) and Bi at (0.500, 0.500, 0.254).

=====

No. 17
A plane-wave DFT calculation with PBE-GGA was carried out for a relaxed structure of HgPOs2.

The calculation puts the energy relative to the lowest polymorph listed for this composition at 0.99 eV/f.u. For the energy of formation, the calculation gives 0.540 eV per atom.

The space group is Cmmm (No. 65) and the conventional cell measures 2.894, 5.108 and 8.691 Å, with angles of 90.00, 90.00 and 90.00 degrees. Symmetry generates all atoms from Hg at (0.000, 0.000, 0.000), P at (0.000, 0.000, 0.500) and Os at (0.000, 0.500, 0.296).

=====

No. 18
A plane-wave DFT calculation with PBE-GGA was carried out for a relaxed structure of SmEr2Ir.

The calculation puts the energy relative to the lowest polymorph listed for this composition at 0.80 eV/f.u. For the energy of formation, the calculation gives -0.374 eV per atom.

The space group is R3m (No. 160, hexagonal axes) and the conventional cell measures 3.9972, 3.9972 and 25.9437 Å, with angles of 90.00, 90.00 and 120.00 degrees. Symmetry generates all atoms from Sm at (0.0000, 0.0000, 0.0000), Er at (0.0000, 0.0000, 0.5532), Er at (0.0000, 0.0000, 0.7744) and Ir at (0.0000, 0.0000, 0.1638).

=====

Which calculated volume belongs to each record? In order, 122.63 93.39 123.63 148.93 77.24 133.59 127.03 346.60 104.78 144.50 235.64 120.15 425.62 66.64 91.42 349.90 64.23 119.66 Å³/f.u..
Which density belongs to each record? In order, 8.3 8.3 9.8 3.2 8.7 6.2 5.1 7.3 9.6 5.1 13.2 6.7 7.6 8.3 3.1 7.5 15.8 9.4 g/cm³.